No. 1
DFT (PBE) results for a relaxed PmTcTe crystal.

Properties
- Volume: 292 Å³ per cell
- Uncorrected formation energy: -0.1362 eV per atom
- Spin magnetization: 0.00 μB/cell
- Density of states at the Fermi level: 10.90 states/eV per cell
- Space-group type: P2_1/c, No. 14

Cell: 5.741 6.025 9.051 Å, 90.00 111.03 90.00°
Element x y z (fractional)
Pm1 0.194 0.223 0.036
Pm2 0.194 0.277 0.536
Pm3 0.806 0.723 0.464
Pm4 0.806 0.777 0.964
Tc1 0.191 0.596 0.796
Tc2 0.191 0.904 0.296
Tc3 0.809 0.096 0.704
Tc4 0.809 0.404 0.204
Te1 0.394 0.705 0.109
Te2 0.394 0.795 0.609
Te3 0.606 0.205 0.391
Te4 0.606 0.295 0.891

---

No. 2
DFT (PBE) results for a relaxed LiEr8Hg2 crystal.

Properties
- Volume: 304 Å³ per cell
- Spin magnetization: 0.00 μB/cell
- Density of states at the Fermi level: 9.75 states/eV per cell
- E_form: -132 meV per atom
- Space-group type: C2/m, No. 12

Cell: 9.197 9.197 6.891 Å, 105.48 105.48 32.87°
Element x y z (fractional)
Li1 0.000 0.000 0.000
Er1 0.092 0.092 0.457
Er2 0.162 0.162 0.963
Er3 0.308 0.308 0.707
Er4 0.474 0.474 0.229
Er5 0.526 0.526 0.771
Er6 0.692 0.692 0.293
Er7 0.838 0.838 0.037
Er8 0.908 0.908 0.543
Hg1 0.311 0.311 0.284
Hg2 0.689 0.689 0.716

---

No. 3
DFT (PBE) results for a relaxed HoErMgAg crystal.

Properties
- Volume: 100 Å³ per cell
- Energy relative to the lowest polymorph listed for this composition: 0.042 eV/atom
- Spin magnetization: 0.00 μB/cell
- Density of states at the Fermi level: 4.23 states/eV per cell
- E_form: -146 meV per atom
- Space-group type: F-43m, No. 216

Cell: 5.212 5.212 5.212 Å, 60.00 60.00 60.00°
Element x y z (fractional)
Ho1 0.000 0.000 0.000
Er1 0.500 0.500 0.500
Mg1 0.250 0.250 0.250
Ag1 0.750 0.750 0.750

---

No. 4
DFT (PBE) results for a relaxed CrIrPt2 crystal.

Properties
- Volume: 58 Å³ per cell
- Spin magnetization: 1.05 μB/cell
- Density of states at the Fermi level: 4.03 states/eV per cell
- E_form: -140 meV per atom
- Space-group type: Pmm2, No. 25

Cell: 2.732 3.791 5.618 Å, 90.00 90.00 90.00°
Element x y z (fractional)
Cr1 0.000 0.000 0.000
Ir1 0.500 0.500 0.217
Pt1 0.000 0.000 0.478
Pt2 0.500 0.500 0.747

---

No. 5
DFT (PBE) results for a relaxed Ac2ZnBr crystal.

Properties
- Volume: 126 Å³ per cell
- Uncorrected formation energy: -0.6689 eV per atom
- Energy relative to the lowest polymorph listed for this composition: 0.032 eV/atom
- Spin magnetization: 0.00 μB/cell
- Density of states at the Fermi level: 3.35 states/eV per cell
- Space-group type: P4/mmm, No. 123

Cell: 3.809 3.809 8.715 Å, 90.00 90.00 90.00°
Element x y z (fractional)
Ac1 0.000 0.000 0.222
Ac2 0.000 0.000 0.778
Zn1 0.500 0.500 0.000
Br1 0.500 0.500 0.500

---

No. 6
DFT (PBE) results for a relaxed Li2Pa2S7 crystal.

Properties
- Volume: 300 Å³ per cell
- Uncorrected formation energy: -1.2459 eV per atom
- Spin magnetization: 0.00 μB/cell
- Space-group type: C2/m, No. 12

Cell: 7.029 7.029 7.545 Å, 101.85 101.85 118.55°
Element x y z (fractional)
Li1 0.173 0.173 0.291
Li2 0.827 0.827 0.709
Pa1 0.327 0.673 0.000
Pa2 0.673 0.327 0.000
S1 0.000 0.000 0.500
S2 0.092 0.456 0.204
S3 0.294 0.294 0.790
S4 0.456 0.092 0.204
S5 0.544 0.908 0.796
S6 0.706 0.706 0.210
S7 0.908 0.544 0.796

---

No. 7
DFT (PBE) results for a relaxed AcSmTlPt crystal.

Properties
- Volume: 114 Å³ per cell
- Spin magnetization: 0.00 μB/cell
- Density of states at the Fermi level: 3.62 states/eV per cell
- E_form: -570 meV per atom
- Space-group type: F-43m, No. 216

Cell: 5.438 5.438 5.438 Å, 60.00 60.00 60.00°
Element x y z (fractional)
Ac1 0.000 0.000 0.000
Sm1 0.500 0.500 0.500
Tl1 0.750 0.750 0.750
Pt1 0.250 0.250 0.250

---

No. 8
DFT (PBE) results for a relaxed TeSe crystal.

Properties
- Volume: 147 Å³ per cell
- Uncorrected formation energy: 0.1960 eV per atom
- Spin magnetization: 0.00 μB/cell
- Density of states at the Fermi level: 4.35 states/eV per cell
- Space-group type: Cmme, No. 67

Cell: 5.011 5.011 8.017 Å, 90.00 90.00 132.96°
Element x y z (fractional)
Te1 0.250 0.750 0.863
Te2 0.750 0.250 0.137
Se1 0.250 0.750 0.383
Se2 0.750 0.250 0.617

---

No. 9
DFT (PBE) results for a relaxed SrVGaNi2 crystal.

Properties
- Volume: 101 Å³ per cell
- Spin magnetization: 3.99 μB/cell
- Density of states at the Fermi level: 3.39 states/eV per cell
- E_form: 434 meV per atom
- Space-group type: P4/mmm, No. 123

Cell: 4.592 4.592 4.810 Å, 90.00 90.00 90.00°
Element x y z (fractional)
Sr1 0.000 0.000 0.000
V1 0.500 0.500 0.000
Ga1 0.500 0.500 0.500
Ni1 0.000 0.500 0.500
Ni2 0.500 0.000 0.500

---

No. 10
DFT (PBE) results for a relaxed GaHg crystal.

Properties
- Volume: 48 Å³ per cell
- Spin magnetization: 0.00 μB/cell
- Density of states at the Fermi level: 1.38 states/eV per cell
- E_form: 95 meV per atom
- Space-group type: Fm-3m, No. 225

Cell: 4.091 4.091 4.091 Å, 60.00 60.00 60.00°
Element x y z (fractional)
Ga1 0.000 0.000 0.000
Hg1 0.500 0.500 0.500

---

No. 11
DFT (PBE) results for a relaxed SnSb3H crystal.

Properties
- Volume: 189 Å³ per cell
- Energy relative to the lowest polymorph listed for this composition: 0.813 eV/atom
- Spin magnetization: 0.79 μB/cell
- Density of states at the Fermi level: 4.29 states/eV per cell
- Space-group type: Pm-3m, No. 221

Cell: 5.739 5.739 5.739 Å, 90.00 90.00 90.00°
Element x y z (fractional)
Sn1 0.000 0.000 0.000
Sb1 0.000 0.000 0.500
Sb2 0.000 0.500 0.000
Sb3 0.500 0.000 0.000
H1 0.500 0.500 0.500

---

No. 12
DFT (PBE) results for a relaxed KIn2SbPb crystal.

Properties
- Volume: 217 Å³ per cell
- Uncorrected formation energy: 0.4517 eV per atom
- Spin magnetization: 1.28 μB/cell
- Density of states at the Fermi level: 4.10 states/eV per cell
- Space-group type: P4/mmm, No. 123

Cell: 5.821 5.821 6.398 Å, 90.00 90.00 90.00°
Element x y z (fractional)
K1 0.000 0.000 0.000
In1 0.000 0.500 0.500
In2 0.500 0.000 0.500
Sb1 0.500 0.500 0.000
Pb1 0.000 0.000 0.500